(1)
## CsZrSeCl2 (GGA-PBE)

Data for a relaxed CsZrSeCl2 crystal.

symmetry: P4/mmm (123)
calculated total energy: -4.856 eV per atom
formation energy (no corrections): -1.540 eV/atom
total magnetization: 0.0 μB per formula unit

Cell: 5.240 5.240 5.284 Å, 90.00 90.00 90.00°
Element x y z (fractional)
Cs 0.500 0.500 0.500
Se 0.000 0.000 0.500
Zr 0.000 0.000 0.000
Cl 0.000 0.500 0.000
Cl 0.500 0.000 0.000

(2)
## CsSiCl3 (GGA-PBE)

Data for a relaxed CsSiCl3 crystal.

symmetry: Pm-3m (221)
calculated total energy: -2.105 eV per atom
formation energy (no corrections): 0.258 eV/atom
total magnetization: 0.0 μB per formula unit

Cell: 6.180 6.180 6.180 Å, 90.00 90.00 90.00°
Element x y z (fractional)
Cs 0.000 0.000 0.000
Si 0.500 0.500 0.500
Cl 0.000 0.500 0.000
Cl 0.000 0.000 0.500
Cl 0.500 0.000 0.000

Calculated volume (Å³/cell)
145 236